(1)
First-principles (GGA-PBE) data for a geometry-optimized Ac7PmSn4 structure, as listed in Alexandria. Values from VASP.

Structure (Quantum ESPRESSO input):
```
&SYSTEM
  ibrav = 0, nat = 12, ntyp = 3
/
ATOMIC_SPECIES
Ac 227.00 Ac.upf
Pm 145.00 Pm.upf
Sn 118.71 Sn.upf
CELL_PARAMETERS angstrom
6.234 0.000 0.000
3.117 9.655 0.217
3.117 0.619 7.695
ATOMIC_POSITIONS angstrom
Ac 9.351 8.934 4.271
Ac 3.117 1.341 3.640
Ac 3.117 6.180 2.070
Ac 9.351 4.094 5.841
Ac 6.234 6.562 6.006
Ac 3.117 0.000 0.000
Ac 6.234 3.712 1.906
Pm 0.000 0.000 0.000
Sn 6.234 2.726 4.983
Sn 6.234 7.549 2.929
Sn 9.351 7.041 7.429
Sn 3.117 3.233 0.483
```

The density of states at the Fermi level comes out at 0.9162 states/eV per atom. As for the formation enthalpy at 0 K: -0.22 eV/atom. As for the space group: C2/m.

(2)
First-principles (GGA-PBE) data for a geometry-optimized Ac4Pm7Sn6 structure, as listed in Alexandria. Values from VASP.

Structure (Quantum ESPRESSO input):
```
&SYSTEM
  ibrav = 0, nat = 17, ntyp = 3
/
ATOMIC_SPECIES
Ac 227.00 Ac.upf
Pm 145.00 Pm.upf
Sn 118.71 Sn.upf
CELL_PARAMETERS angstrom
-0.111 -1.228 -8.955
-8.324 -1.207 3.311
2.793 8.395 1.855
ATOMIC_POSITIONS angstrom
Ac -0.056 -0.614 -4.477
Ac -2.821 2.980 -1.894
Ac -4.162 -0.603 1.655
Ac 1.396 4.197 0.928
Pm -3.548 0.574 -4.597
Pm -4.875 2.985 1.172
Pm -5.601 0.579 -1.531
Pm -0.768 2.974 -4.961
Pm -2.095 5.385 0.808
Pm -0.042 5.380 -2.258
Pm 0.000 0.000 0.000
Sn 1.860 4.972 -4.926
Sn -5.853 -1.690 -3.916
Sn -1.694 2.201 1.582
Sn 0.821 2.194 -2.174
Sn -2.583 -0.746 -1.728
Sn -3.838 4.987 3.584
```

The density of states at the Fermi level comes out at 1.2884 states/eV per atom. As for the formation enthalpy at 0 K: -0.44 eV/atom. As for the space group: Im-3m.

(3)
First-principles (GGA-PBE) data for a geometry-optimized AcPm5Sn8 structure, as listed in Alexandria. Values from VASP.

Structure (Quantum ESPRESSO input):
```
&SYSTEM
  ibrav = 0, nat = 14, ntyp = 3
/
ATOMIC_SPECIES
Ac 227.00 Ac.upf
Pm 145.00 Pm.upf
Sn 118.71 Sn.upf
CELL_PARAMETERS angstrom
8.294 -0.242 0.416
-3.034 7.723 -0.416
-2.226 -4.025 6.919
ATOMIC_POSITIONS angstrom
Ac -1.113 0.782 5.085
Pm 6.660 2.445 1.272
Pm 3.863 5.242 1.912
Pm 2.984 1.954 4.028
Pm 3.034 -2.133 3.667
Pm 3.081 1.055 0.123
Sn -1.518 5.839 0.006
Sn 6.086 -2.649 5.488
Sn 5.058 0.026 2.482
Sn 2.315 -0.242 6.131
Sn 1.348 3.256 1.547
Sn 0.748 3.433 6.024
Sn 0.752 0.289 2.319
Sn -2.652 3.872 3.678
```

The density of states at the Fermi level comes out at 0.6312 states/eV per atom. As for the formation enthalpy at 0 K: -0.58 eV/atom. As for the space group: I-4.

(4)
First-principles (GGA-PBE) data for a geometry-optimized AcPm2Sn structure, as listed in Alexandria. Values from VASP.

Structure (Quantum ESPRESSO input):
```
&SYSTEM
  ibrav = 0, nat = 4, ntyp = 3
/
ATOMIC_SPECIES
Ac 227.00 Ac.upf
Sn 118.71 Sn.upf
Pm 145.00 Pm.upf
CELL_PARAMETERS angstrom
4.965 0.000 0.000
0.000 5.095 0.000
0.000 0.000 5.095
ATOMIC_POSITIONS angstrom
Ac 2.482 2.548 2.548
Sn 2.482 0.000 0.000
Pm 0.000 0.000 2.548
Pm 0.000 2.548 0.000
```

The density of states at the Fermi level comes out at 1.2133 states/eV per atom. The energy above the most stable polymorph in this dataset is 0.000 eV/atom. As for the formation enthalpy at 0 K: -0.39 eV/atom. As for the space group: P4/mmm.

(5)
First-principles (GGA-PBE) data for a geometry-optimized Ac12Pm2Sn5 structure, as listed in Alexandria. Values from VASP.

Structure (Quantum ESPRESSO input):
```
&SYSTEM
  ibrav = 0, nat = 19, ntyp = 3
/
ATOMIC_SPECIES
Ac 227.00 Ac.upf
Pm 145.00 Pm.upf
Sn 118.71 Sn.upf
CELL_PARAMETERS angstrom
-0.298 -0.955 -8.580
8.816 -1.802 4.243
-3.232 -9.717 1.193
ATOMIC_POSITIONS angstrom
Ac 7.562 -4.362 -4.126
Ac 2.807 -9.590 3.239
Ac 2.651 -10.089 -1.239
Ac 4.972 -5.335 2.593
Ac 4.824 -5.812 -1.693
Ac 5.973 -8.797 0.771
Ac -0.687 -3.677 -3.916
Ac 0.313 -7.139 -5.737
Ac 0.462 -6.662 -1.452
Ac 2.479 -2.883 -6.383
Ac 2.635 -2.385 -1.905
Ac -2.276 -8.112 0.982
Pm -0.199 -0.637 -5.723
Pm -0.099 -0.318 -2.858
Sn 2.948 -7.289 0.709
Sn 5.628 -2.863 0.123
Sn -1.616 -4.859 0.597
Sn -0.342 -9.611 -3.267
Sn 2.338 -5.185 -3.853
```

The density of states at the Fermi level comes out at 1.3022 states/eV per atom. As for the formation enthalpy at 0 K: -0.20 eV/atom. As for the space group: C2/m.

(6)
First-principles (GGA-PBE) data for a geometry-optimized AcPm2Sn structure, as listed in Alexandria. Values from VASP.

Structure (Quantum ESPRESSO input):
```
&SYSTEM
  ibrav = 0, nat = 16, ntyp = 3
/
ATOMIC_SPECIES
Ac 227.00 Ac.upf
Pm 145.00 Pm.upf
Sn 118.71 Sn.upf
CELL_PARAMETERS angstrom
5.518 0.000 0.000
0.000 6.989 0.000
0.000 0.000 13.875
ATOMIC_POSITIONS angstrom
Ac 1.379 2.953 8.875
Ac 1.379 0.542 1.938
Ac 4.138 4.036 4.999
Ac 4.138 6.447 11.937
Pm 1.379 6.371 9.713
Pm 1.379 4.112 2.776
Pm 4.138 0.618 4.162
Pm 4.138 2.877 11.099
Pm 1.379 5.915 6.311
Pm 1.379 4.569 13.249
Pm 4.138 1.074 7.564
Pm 4.138 2.420 0.626
Sn 1.379 2.065 5.481
Sn 1.379 1.430 12.419
Sn 4.138 4.924 8.394
Sn 4.138 5.559 1.456
```

The density of states at the Fermi level comes out at 1.0436 states/eV per atom. The energy above the most stable polymorph in this dataset is 0.055 eV/atom. As for the formation enthalpy at 0 K: -0.33 eV/atom. As for the space group: Pnma.

(7)
First-principles (GGA-PBE) data for a geometry-optimized AcPm7Sn5 structure, as listed in Alexandria. Values from VASP.

Structure (Quantum ESPRESSO input):
```
&SYSTEM
  ibrav = 0, nat = 13, ntyp = 3
/
ATOMIC_SPECIES
Ac 227.00 Ac.upf
Pm 145.00 Pm.upf
Sn 118.71 Sn.upf
CELL_PARAMETERS angstrom
6.526 0.000 0.000
3.263 7.863 -0.066
3.263 -0.091 7.863
ATOMIC_POSITIONS angstrom
Ac 6.526 0.124 0.124
Pm 6.526 2.802 2.811
Pm 6.526 5.257 5.274
Pm 9.789 2.644 5.181
Pm 9.789 5.172 2.661
Pm 3.263 1.801 1.807
Pm 6.526 6.326 1.274
Pm 6.526 1.254 6.330
Sn 4.896 -0.024 3.836
Sn 1.630 -0.024 3.836
Sn 4.896 3.836 -0.011
Sn 1.630 3.836 -0.011
Sn 9.789 5.854 5.873
```

The density of states at the Fermi level comes out at 0.8594 states/eV per atom. As for the formation enthalpy at 0 K: -0.50 eV/atom. As for the space group: Imm2.

(8)
First-principles (GGA-PBE) data for a geometry-optimized Ac6PmSn4 structure, as listed in Alexandria. Values from VASP.

Structure (Quantum ESPRESSO input):
```
&SYSTEM
  ibrav = 0, nat = 11, ntyp = 3
/
ATOMIC_SPECIES
Ac 227.00 Ac.upf
Pm 145.00 Pm.upf
Sn 118.71 Sn.upf
CELL_PARAMETERS angstrom
-0.163 6.899 -5.410
-7.280 -3.155 3.733
3.291 0.528 8.110
ATOMIC_POSITIONS angstrom
Ac -4.344 -2.340 7.215
Ac -0.986 -1.170 8.606
Ac -0.802 4.252 -1.640
Ac 1.564 3.714 1.350
Ac -2.010 0.902 4.095
Ac -3.722 1.872 -0.838
Pm 0.000 0.000 0.000
Sn 0.822 -0.213 5.791
Sn -1.548 2.762 1.414
Sn -4.045 -1.909 3.776
Sn -3.372 1.006 7.295
```

The density of states at the Fermi level comes out at 1.0864 states/eV per atom. As for the formation enthalpy at 0 K: -0.33 eV/atom. As for the space group: I-42m.